Entry 1:
AlSb2TeP: PBEsol geometry, SCAN.

Calculated total energy ... -25.27 eV/atom
D(E_F) ... 4.56 states/eV/cell
V ... 27.3 Å³/atom
Energy relative to the elements, uncorrected ... 0.717 eV per atom
Crystal system ... tetragonal
Size of the total moment ... 0.002 μB per formula unit

Geometry as POSCAR:
```
AlSb2TeP
1.0
5.180 0.000 0.000
0.000 5.180 0.000
0.000 0.000 5.097
Sb Te Al P
2 1 1 1
Direct
0.000 0.500 0.000
0.500 0.000 0.000
0.000 0.000 0.500
0.500 0.500 0.500
0.000 0.000 0.000
```

Entry 2:
Sc2AlP: PBEsol geometry, SCAN.

ΔE_f ... -1.9 eV/f.u.
Calculated total energy ... -12.13 eV/atom
D(E_F) ... 3.13 states/eV/cell
Polymorph energy (0 for the lowest one) ... 487.8 meV per atom
V ... 17.9 Å³/atom
Crystal system ... cubic
Size of the total moment ... 0.000 μB per formula unit

Geometry as POSCAR:
```
Sc2AlP
1.0
4.664 0.000 0.000
2.332 4.039 0.000
2.332 1.346 3.808
Sc P Al
2 1 1
Direct
0.250 0.250 0.250
0.750 0.750 0.750
0.500 0.500 0.500
0.000 0.000 0.000
```

Entry 3:
Sc2AlP: PBEsol geometry, SCAN.

ΔE_f ... -2.5 eV/f.u.
Calculated total energy ... -12.29 eV/atom
D(E_F) ... 3.06 states/eV/cell
Polymorph energy (0 for the lowest one) ... 327.9 meV per atom
V ... 18.1 Å³/atom
Crystal system ... orthorhombic
Size of the total moment ... 0.000 μB per formula unit

Geometry as POSCAR:
```
Sc2AlP
1.0
-3.565 0.177 -1.203
0.945 -3.354 -3.297
0.284 -1.274 4.868
Sc P Al
2 1 1
Direct
0.728 0.728 0.456
0.272 0.272 0.544
0.000 0.500 0.000
0.500 0.000 0.000
```

Entry 4:
ScAl2P: PBEsol geometry, SCAN.

ΔE_f ... -1.8 eV/f.u.
Calculated total energy ... -10.48 eV/atom
D(E_F) ... 1.69 states/eV/cell
V ... 17.9 Å³/atom
Crystal system ... monoclinic
Size of the total moment ... 0.005 μB per formula unit

Geometry as POSCAR:
```
ScAl2P
1.0
-3.533 -0.068 -1.274
-0.957 -2.091 3.023
1.236 5.262 1.699
Sc P Al
1 1 2
Direct
0.000 0.000 0.000
0.500 0.500 0.000
0.000 0.000 0.500
0.500 0.500 0.500
```

Entry 5:
ScAlP2: PBEsol geometry, SCAN.

ΔE_f ... -2.2 eV/f.u.
Calculated total energy ... -11.24 eV/atom
D(E_F) ... 1.41 states/eV/cell
V ... 15.6 Å³/atom
Crystal system ... orthorhombic
Size of the total moment ... 0.000 μB per formula unit

Geometry as POSCAR:
```
ScAlP2
1.0
3.380 0.000 0.000
0.000 4.313 -0.050
0.000 -0.406 4.294
Sc P Al
1 2 1
Direct
0.500 0.000 0.000
0.000 0.000 0.500
0.000 0.500 0.000
0.500 0.500 0.500
```

Entry 6:
ScAlP2: PBEsol geometry, SCAN.

ΔE_f ... -2.6 eV/f.u.
Calculated total energy ... -11.35 eV/atom
D(E_F) ... 1.22 states/eV/cell
V ... 17.1 Å³/atom
Crystal system ... orthorhombic
Size of the total moment ... 0.002 μB per formula unit

Geometry as POSCAR:
```
ScAlP2
1.0
3.429 0.000 0.000
0.000 3.528 0.000
0.000 0.000 5.663
Sc P Al
1 2 1
Direct
0.500 0.500 0.000
0.000 0.000 0.790
0.000 0.000 0.210
0.000 0.500 0.500
```

Entry 7:
Sc2AlP: PBEsol geometry, SCAN.

ΔE_f ... -3.8 eV/f.u.
Calculated total energy ... -12.61 eV/atom
D(E_F) ... 2.14 states/eV/cell
Polymorph energy (0 for the lowest one) ... 0.0 meV per atom
V ... 17.9 Å³/atom
Crystal system ... orthorhombic
Size of the total moment ... 0.001 μB per formula unit

Geometry as POSCAR:
```
Sc2AlP
1.0
3.651 0.000 0.000
0.000 3.936 0.000
0.000 -1.968 4.980
Sc P Al
2 1 1
Direct
0.000 0.984 0.967
0.500 0.268 0.536
0.500 0.540 0.080
0.000 0.705 0.410
```

Entry 8:
AlPSe2: PBEsol geometry, SCAN.

Calculated total energy ... -14.13 eV/atom
D(E_F) ... 2.33 states/eV/cell
Polymorph energy (0 for the lowest one) ... 648.8 meV per atom
V ... 17.2 Å³/atom
Energy relative to the elements, uncorrected ... 0.443 eV per atom
Crystal system ... cubic
Size of the total moment ... 0.001 μB per formula unit

Geometry as POSCAR:
```
AlPSe2
1.0
-4.074 -2.097 -0.344
-0.367 -4.479 0.961
-2.210 -1.363 3.791
P Al Se
1 1 2
Direct
0.500 0.500 0.500
0.000 0.000 0.000
0.250 0.250 0.250
0.750 0.750 0.750
```

Entry 9:
AlPSe2: PBEsol geometry, SCAN.

Calculated total energy ... -14.56 eV/atom
D(E_F) ... 1.88 states/eV/cell
Polymorph energy (0 for the lowest one) ... 226.1 meV per atom
V ... 18.8 Å³/atom
Energy relative to the elements, uncorrected ... 0.020 eV per atom
Crystal system ... orthorhombic
Size of the total moment ... 0.002 μB per formula unit

Geometry as POSCAR:
```
AlPSe2
1.0
3.713 0.000 0.000
0.000 4.646 -0.011
0.000 -1.565 4.374
P Al Se
1 1 2
Direct
0.500 0.000 0.000
0.500 0.500 0.500
0.000 0.744 0.256
0.000 0.256 0.744
```

Entry 10:
AlPSe2: PBEsol geometry, SCAN.

Calculated total energy ... -14.78 eV/atom
D(E_F) ... 1.17 states/eV/cell
Polymorph energy (0 for the lowest one) ... 0.0 meV per atom
V ... 20.6 Å³/atom
Energy relative to the elements, uncorrected ... -0.206 eV per atom
Crystal system ... monoclinic
Size of the total moment ... 0.005 μB per formula unit

Geometry as POSCAR:
```
AlPSe2
1.0
3.594 0.000 0.000
0.000 4.386 -0.001
0.000 -2.110 5.227
P Al Se
1 1 2
Direct
0.500 0.460 0.679
0.000 0.032 0.551
0.000 0.895 0.937
0.500 0.613 0.333
```

Entry 11:
AlP3Se: PBEsol geometry, SCAN.

Calculated total energy ... -10.93 eV/atom
D(E_F) ... 3.83 states/eV/cell
V ... 19.1 Å³/atom
Energy relative to the elements, uncorrected ... 0.880 eV per atom
Crystal system ... cubic
Size of the total moment ... 0.003 μB per formula unit

Geometry as POSCAR:
```
AlP3Se
1.0
-2.091 -1.005 3.939
0.627 -4.456 -0.804
4.017 0.173 2.176
P Al Se
3 1 1
Direct
0.000 0.500 0.000
0.000 0.000 0.500
0.500 0.000 0.000
0.000 0.000 0.000
0.500 0.500 0.500
```

Entry 12:
AlPSe2: PBEsol geometry, SCAN.

Calculated total energy ... -14.64 eV/atom
D(E_F) ... 1.46 states/eV/cell
Polymorph energy (0 for the lowest one) ... 140.0 meV per atom
V ... 20.4 Å³/atom
Energy relative to the elements, uncorrected ... -0.066 eV per atom
Crystal system ... orthorhombic
Size of the total moment ... 0.000 μB per formula unit

Geometry as POSCAR:
```
AlPSe2
1.0
3.341 0.000 0.000
0.000 3.499 0.000
-1.670 -1.750 6.993
P Al Se
1 1 2
Direct
0.203 0.703 0.407
0.554 0.554 0.108
0.986 0.986 0.973
0.756 0.256 0.512
```

Entry 13:
AlPSe2: PBEsol geometry, SCAN.

Calculated total energy ... -14.54 eV/atom
D(E_F) ... 1.59 states/eV/cell
Polymorph energy (0 for the lowest one) ... 243.1 meV per atom
V ... 19.3 Å³/atom
Energy relative to the elements, uncorrected ... 0.037 eV per atom
Crystal system ... trigonal
Size of the total moment ... 0.001 μB per formula unit

Geometry as POSCAR:
```
AlPSe2
1.0
-3.397 -0.117 -1.741
-0.531 -2.306 -2.997
-3.079 -5.279 2.174
P Al Se
1 1 2
Direct
0.000 0.000 0.000
0.500 0.500 0.500
0.250 0.250 0.251
0.750 0.750 0.749
```

Entry 14:
AlPSe2: PBEsol geometry, SCAN.

Calculated total energy ... -14.19 eV/atom
D(E_F) ... 2.17 states/eV/cell
Polymorph energy (0 for the lowest one) ... 597.5 meV per atom
V ... 19.1 Å³/atom
Energy relative to the elements, uncorrected ... 0.391 eV per atom
Crystal system ... tetragonal
Size of the total moment ... 0.037 μB per formula unit

Geometry as POSCAR:
```
AlPSe2
1.0
-1.422 3.356 0.466
-2.821 -1.452 1.853
5.014 -0.398 3.679
P Al Se
1 1 2
Direct
0.000 0.000 0.000
0.500 0.500 0.000
0.750 0.250 0.500
0.250 0.750 0.500
```

Entry 15:
SrAl2PSe: PBEsol geometry, SCAN.

Calculated total energy ... -13.45 eV/atom
D(E_F) ... 1.99 states/eV/cell
V ... 25.6 Å³/atom
Energy relative to the elements, uncorrected ... 0.202 eV per atom
Crystal system ... tetragonal
Size of the total moment ... 0.000 μB per formula unit

Geometry as POSCAR:
```
SrAl2PSe
1.0
-1.958 2.988 3.319
-1.811 -3.844 2.392
4.504 -0.300 2.927
Sr Al Se P
1 2 1 1
Direct
0.500 0.500 0.500
0.000 0.500 0.000
0.500 0.000 0.000
0.000 0.000 0.000
0.000 0.000 0.500
```

Entry 16:
AlSiP2: PBEsol geometry, SCAN.

Calculated total energy ... -9.87 eV/atom
D(E_F) ... 3.65 states/eV/cell
Polymorph energy (0 for the lowest one) ... 0.0 meV per atom
V ... 19.0 Å³/atom
Energy relative to the elements, uncorrected ... -0.224 eV per atom
Crystal system ... tetragonal
Size of the total moment ... 0.000 μB per formula unit

Geometry as POSCAR:
```
AlSiP2
1.0
5.372 0.000 0.000
0.000 5.372 0.000
-2.686 -2.686 5.280
P Si Al
4 2 2
Direct
0.363 0.875 0.250
0.887 0.375 0.250
0.125 0.113 0.750
0.625 0.637 0.750
0.250 0.750 0.500
0.000 0.000 0.000
0.750 0.250 0.500
0.500 0.500 0.000
```

Entry 17:
AlSi2P: PBEsol geometry, SCAN.

Calculated total energy ... -9.30 eV/atom
D(E_F) ... 1.10 states/eV/cell
Polymorph energy (0 for the lowest one) ... 61.6 meV per atom
V ... 15.4 Å³/atom
Energy relative to the elements, uncorrected ... 0.248 eV per atom
Crystal system ... monoclinic
Size of the total moment ... 0.000 μB per formula unit

Geometry as POSCAR:
```
AlSi2P
1.0
-2.334 -0.453 -1.053
0.770 -4.728 0.329
-0.917 2.638 4.991
P Si Al
1 2 1
Direct
0.869 0.754 0.509
0.213 0.000 0.000
0.731 0.248 0.495
0.687 0.498 0.996
```

Entry 18:
Al2SiP: PBEsol geometry, SCAN.

Calculated total energy ... -8.73 eV/atom
D(E_F) ... 1.45 states/eV/cell
Polymorph energy (0 for the lowest one) ... 1.3 meV per atom
V ... 15.6 Å³/atom
Energy relative to the elements, uncorrected ... 0.245 eV per atom
Crystal system ... orthorhombic
Size of the total moment ... 0.000 μB per formula unit

Geometry as POSCAR:
```
Al2SiP
1.0
-2.107 -1.066 -2.504
0.690 -4.632 -0.974
-3.135 -3.218 1.642
P Si Al
1 1 2
Direct
0.500 0.000 0.000
0.000 0.500 0.500
0.239 0.761 0.761
0.761 0.239 0.239
```

Entry 19:
Al4SiP: PBEsol geometry, SCAN.

Calculated total energy ... -8.08 eV/atom
D(E_F) ... 2.51 states/eV/cell
V ... 16.5 Å³/atom
Energy relative to the elements, uncorrected ... 0.487 eV per atom
Crystal system ... cubic
Size of the total moment ... 0.002 μB per formula unit

Geometry as POSCAR:
```
Al4SiP
1.0
-0.450 -0.421 -5.161
2.996 -3.354 -2.604
-2.092 -4.276 -2.085
P Si Al
1 1 4
Direct
0.750 0.750 0.750
0.000 0.000 0.000
0.375 0.375 0.375
0.375 0.375 0.876
0.876 0.375 0.375
0.375 0.876 0.375
```

Entry 20:
AlSiP: PBEsol geometry, SCAN.

Calculated total energy ... -9.10 eV/atom
D(E_F) ... 1.03 states/eV/cell
Polymorph energy (0 for the lowest one) ... 0.0 meV per atom
V ... 14.7 Å³/atom
Energy relative to the elements, uncorrected ... 0.292 eV per atom
Crystal system ... tetragonal
Size of the total moment ... 0.000 μB per formula unit

Geometry as POSCAR:
```
AlSiP
1.0
3.071 0.000 0.000
0.000 3.071 0.000
-1.536 -1.536 4.688
P Si Al
1 1 1
Direct
0.683 0.683 0.367
0.311 0.311 0.622
0.006 0.006 0.011
```